LaCr2Mo: PBEsol geometry, SCAN.

## Properties
The calculation puts the energy above the most stable polymorph in this dataset at 296 meV per atom. Its space-group type is No. 47. The value obtained for the formation energy from the elements is 2.49 eV/f.u.

POSCAR file:
```
LaCr2Mo
1.0
3.180 0.000 0.000
0.000 4.431 0.000
0.000 0.000 4.788
La Cr Mo
1 2 1
direct
0.000 0.000 0.000
0.000 0.500 0.500
0.500 0.000 0.500
0.500 0.500 0.000
```